DFT (PBE-GGA) results for a geometry-optimized Y2HgPd structure.

Structure (POSCAR):
```
Y2HgPd
1.0
3.5943 0.0000 0.0000
0.0000 3.5943 0.0000
0.0000 0.0000 7.3725
Y Hg Pd
2 1 1
Direct
0.0000 0.0000 0.2304
0.0000 0.0000 0.7696
0.5000 0.5000 0.5000
0.5000 0.5000 0.0000
```

Output
Calculated total energy in eV per atom: -5.293